(1)
24
Lattice="8.3396 -12.6012 0.0000 8.3396 12.6012 0.0000 0.0000 0.0000 3.6793" Properties=species:S:1:pos:R:3 comment="Tb9Y11Er4 | the Alexandria database | PBE | optimized geometry" formation_energy_ev_per_atom=0.05 m_tot_mub_per_fu=0.0 pbc="T T T"
Tb 0.0000 0.0000 0.0000
Tb 6.6353 6.7230 0.0000
Tb 5.9709 1.8274 0.0000
Tb 10.0439 6.7230 0.0000
Tb 5.9709 -1.8274 0.0000
Tb 10.7083 1.8274 0.0000
Tb 6.6353 -6.7230 0.0000
Tb 10.7083 -1.8274 0.0000
Tb 10.0439 -6.7230 0.0000
Y 4.5731 4.5541 1.8396
Y 8.3396 9.2682 1.8396
Y 3.4561 0.0000 1.8396
Y 8.3396 4.0272 1.8396
Y 4.5731 -4.5541 1.8396
Y 8.3396 0.0000 1.8396
Y 12.1061 4.5541 1.8396
Y 8.3396 -4.0272 1.8396
Y 13.2231 0.0000 1.8396
Y 8.3396 -9.2682 1.8396
Y 12.1061 -4.5541 1.8396
Er 2.5867 2.5456 0.0000
Er 2.5867 -2.5456 0.0000
Er 14.0925 2.5456 0.0000
Er 14.0925 -2.5456 0.0000

---

(2)
11
Lattice="-2.3519 2.3519 16.6630 2.3519 -2.3519 16.6630 2.3519 2.3519 -16.6630" Properties=species:S:1:pos:R:3 comment="Tb6Y2Er3 | the Alexandria database | PBE | optimized geometry" formation_energy_ev_per_atom=0.29 m_tot_mub_per_fu=0.0 pbc="T T T"
Tb 2.3519 0.0000 4.0714
Tb 0.0000 0.0000 6.6007
Tb 2.3519 0.0000 12.5915
Tb 0.0000 2.3519 4.0714
Tb 0.0000 0.0000 26.7253
Tb 0.0000 2.3519 12.5915
Y 0.0000 0.0000 1.5334
Y 0.0000 0.0000 31.7925
Er 0.0000 0.0000 10.0179
Er 0.0000 0.0000 16.6630
Er 0.0000 0.0000 23.3080

---

(3)
15
Lattice="3.4701 2.0035 11.7215 -3.4701 2.0035 11.7215 0.0000 -4.0069 11.7215" Properties=species:S:1:pos:R:3 comment="Tb3Y8Er4 | the Alexandria database | PBE | optimized geometry" formation_energy_ev_per_atom=0.16 m_tot_mub_per_fu=0.4 pbc="T T T"
Tb -1.7350 -1.0017 11.7215
Tb -1.7350 1.0017 23.4430
Tb 0.0000 2.0035 11.7215
Y 0.0000 -1.9980 14.6625
Y -1.7303 0.9990 14.6625
Y -1.7303 -0.9990 20.5021
Y 0.0000 0.0000 8.9544
Y 0.0000 0.0000 26.2102
Y 1.7303 0.9990 14.6625
Y 1.7303 -0.9990 20.5021
Y 0.0000 1.9980 20.5021
Er 0.0000 0.0000 0.0000
Er 0.0000 0.0000 5.7706
Er 0.0000 0.0000 17.5823
Er 0.0000 0.0000 29.3940

---

(4)
13
Lattice="-3.3574 5.5274 5.7502 3.3574 -5.5274 5.7502 3.3574 5.5274 -5.7502" Properties=species:S:1:pos:R:3 comment="TbY5Er7 | the Alexandria database | PBE | optimized geometry" formation_energy_ev_per_atom=0.28 m_tot_mub_per_fu=0.0 pbc="T T T"
Tb 0.0000 0.0000 0.0000
Y 1.5531 2.4803 -2.2799
Y 5.1617 2.4803 -2.2799
Y 3.3574 0.0000 3.4867
Y -1.8043 3.0472 3.4703
Y 1.8043 3.0472 3.4703
Er 3.3574 1.8845 0.5947
Er 0.0000 0.0000 3.4868
Er 0.0000 3.6408 0.6106
Er 0.0000 0.0000 6.9835
Er 0.0000 7.4140 0.6106
Er 0.0000 5.5274 3.4769
Er 0.0000 3.6429 6.3449

---

(5)
6
Lattice="3.5301 0.0000 0.0000 1.7537 5.8422 0.0000 1.7521 1.5900 9.0122" Properties=species:S:1:pos:R:3 comment="TbYEr4 | the Alexandria database | PBE | optimized geometry" formation_energy_ev_per_atom=0.02 m_tot_mub_per_fu=0.0 pbc="T T T"
Tb 0.0000 0.0000 0.0000
Y 1.7529 3.7161 4.5061
Er 1.7618 0.5431 3.0008
Er 3.5120 4.2436 7.5184
Er 3.5240 3.1887 1.4938
Er 5.2742 6.8891 6.0114

---

(6)
16
Lattice="11.2290 0.0000 0.0000 0.0000 7.2522 0.0000 0.0000 0.0000 6.2725" Properties=species:S:1:pos:R:3 comment="Tb4YEr3 | the Alexandria database | PBE | optimized geometry" formation_energy_ev_per_atom=0.01 m_tot_mub_per_fu=0.0 pbc="T T T"
Tb 0.0000 0.9144 0.0000
Tb 0.0000 6.3393 3.1211
Tb 2.7916 6.3410 5.2148
Tb 2.8229 0.9112 2.0786
Tb 5.6145 0.9129 6.2573
Tb 5.6145 6.3378 3.1363
Tb 8.4061 0.9112 2.0786
Tb 8.4374 6.3410 5.2148
Y 0.0000 2.7261 3.1338
Y 5.6145 4.5261 6.2701
Er 0.0000 4.5247 6.2683
Er 2.8067 2.7256 5.2248
Er 2.8079 4.5265 2.0886
Er 5.6145 2.7275 3.1320
Er 8.4224 2.7256 5.2248
Er 8.4212 4.5265 2.0886

---

What is the formula in the third record? Tb3Y8Er4

---

What did the first record say?
24
Lattice="8.3396 -12.6012 0.0000 8.3396 12.6012 0.0000 0.0000 0.0000 3.6793" Properties=species:S:1:pos:R:3 comment="Tb9Y11Er4 | the Alexandria database | PBE | optimized geometry" formation_energy_ev_per_atom=0.05 m_tot_mub_per_fu=0.0 pbc="T T T"
Tb 0.0000 0.0000 0.0000
Tb 6.6353 6.7230 0.0000
Tb 5.9709 1.8274 0.0000
Tb 10.0439 6.7230 0.0000
Tb 5.9709 -1.8274 0.0000
Tb 10.7083 1.8274 0.0000
Tb 6.6353 -6.7230 0.0000
Tb 10.7083 -1.8274 0.0000
Tb 10.0439 -6.7230 0.0000
Y 4.5731 4.5541 1.8396
Y 8.3396 9.2682 1.8396
Y 3.4561 0.0000 1.8396
Y 8.3396 4.0272 1.8396
Y 4.5731 -4.5541 1.8396
Y 8.3396 0.0000 1.8396
Y 12.1061 4.5541 1.8396
Y 8.3396 -4.0272 1.8396
Y 13.2231 0.0000 1.8396
Y 8.3396 -9.2682 1.8396
Y 12.1061 -4.5541 1.8396
Er 2.5867 2.5456 0.0000
Er 2.5867 -2.5456 0.0000
Er 14.0925 2.5456 0.0000
Er 14.0925 -2.5456 0.0000

---

Copy entry 1 word for word.
24
Lattice="8.3396 -12.6012 0.0000 8.3396 12.6012 0.0000 0.0000 0.0000 3.6793" Properties=species:S:1:pos:R:3 comment="Tb9Y11Er4 | the Alexandria database | PBE | optimized geometry" formation_energy_ev_per_atom=0.05 m_tot_mub_per_fu=0.0 pbc="T T T"
Tb 0.0000 0.0000 0.0000
Tb 6.6353 6.7230 0.0000
Tb 5.9709 1.8274 0.0000
Tb 10.0439 6.7230 0.0000
Tb 5.9709 -1.8274 0.0000
Tb 10.7083 1.8274 0.0000
Tb 6.6353 -6.7230 0.0000
Tb 10.7083 -1.8274 0.0000
Tb 10.0439 -6.7230 0.0000
Y 4.5731 4.5541 1.8396
Y 8.3396 9.2682 1.8396
Y 3.4561 0.0000 1.8396
Y 8.3396 4.0272 1.8396
Y 4.5731 -4.5541 1.8396
Y 8.3396 0.0000 1.8396
Y 12.1061 4.5541 1.8396
Y 8.3396 -4.0272 1.8396
Y 13.2231 0.0000 1.8396
Y 8.3396 -9.2682 1.8396
Y 12.1061 -4.5541 1.8396
Er 2.5867 2.5456 0.0000
Er 2.5867 -2.5456 0.0000
Er 14.0925 2.5456 0.0000
Er 14.0925 -2.5456 0.0000